First-principles (GGA-PBE) data for a relaxed structure of NaErZnSn, as listed in Alexandria.

Values from the calculation:
The calculated density comes out at 6.50 Mg/m³. The magnetic moment comes out at 0.000 μB per formula unit. Its formation enthalpy at 0 K is -0.29 eV/atom.

Geometry as extended XYZ:
```
4
Lattice="-5.0892 0.5321 0.4148 -2.8792 -3.9654 1.5300 -2.2045 0.0662 4.6358" Properties=species:S:1:pos:R:3 pbc="T T T"
Zn -7.6296 -2.5253 4.9355
Sn -2.5432 -0.8418 1.6452
Na -5.0864 -1.6835 3.2903
Er 0.0000 0.0000 0.0000
```